DFT (PBE) results for crystalline NaPPdRh at its relaxed geometry.

The space group is P4/nmm (No. 129, origin choice 2) and the conventional cell measures 3.849, 3.849 and 10.387 Å, with angles of 90.00, 90.00 and 90.00 degrees. The inequivalent atoms are Na at (0.250, 0.250, 0.223), P at (0.250, 0.250, 0.628), Pd at (0.250, 0.750, 0.000) and Rh at (0.250, 0.750, 0.500).

Its energy relative to the elements is -0.349 eV/atom. The value obtained for the total magnetic moment is 0.00 μB/f.u. Its density is 5.68 g/cm3. The value obtained for the raw total energy is -5.1672 eV per atom. The volume comes out at 153.9 Å³/cell.

---

DFT (PBE) results for crystalline Tl2FeSb at its relaxed geometry.

The space group is P2/m (No. 10) and the conventional cell measures 3.506, 5.447 and 5.408 Å, with angles of 90.00, 95.62 and 90.00 degrees. The inequivalent atoms are Tl at (0.210, 0.000, 0.261), Fe at (0.500, 0.500, 0.500) and Sb at (0.500, 0.500, 0.000).

The value obtained for the total magnetic moment is 2.92 μB/f.u. As for the energy relative to the elements, uncorrected: 502 meV/atom. Its density is 9.47 g/cm3. The value obtained for the raw total energy is -3.8274 eV per atom. The volume comes out at 102.8 Å³/cell. The calculation puts the energy above the most stable polymorph in this dataset at 253 meV/atom.

---

DFT (PBE) results for crystalline LaAg2 at its relaxed geometry.

The space group is P4/mmm (No. 123) and the conventional cell measures 4.047, 4.047 and 5.072 Å, with angles of 90.00, 90.00 and 90.00 degrees. The inequivalent atoms are La at (0.000, 0.000, 0.000) and Ag at (0.000, 0.500, 0.500).

Its energy relative to the elements is 0.095 eV/atom. The value obtained for the total magnetic moment is 0.00 μB/f.u. Its density is 7.09 g/cm3. The value obtained for the raw total energy is -3.4481 eV per atom. The volume comes out at 83.1 Å³/cell.

---

DFT (PBE) results for crystalline Zn2CuPd3 at its relaxed geometry.

The space group is P4/mmm (No. 123) and the conventional cell measures 2.950, 2.950 and 9.813 Å, with angles of 90.00, 90.00 and 90.00 degrees. The inequivalent atoms are Zn at (0.000, 0.000, 0.170), Cu at (0.000, 0.000, 0.500), Pd at (0.500, 0.500, 0.000) and Pd at (0.500, 0.500, 0.335).

Its energy relative to the elements is -0.436 eV/atom. The value obtained for the total magnetic moment is 0.00 μB/f.u. Its density is 9.99 g/cm3. The value obtained for the raw total energy is -4.1396 eV per atom. The volume comes out at 85.4 Å³/cell. The calculation puts the energy above the most stable polymorph in this dataset at 10 meV/atom.

---

DFT (PBE) results for crystalline InSe2 at its relaxed geometry.

The space group is Cmcm (No. 63) and the conventional cell measures 4.017, 13.252 and 5.553 Å, with angles of 90.00, 90.00 and 90.00 degrees. The inequivalent atoms are In at (0.000, 0.157, 0.250), Se at (0.000, 0.197, 0.750) and Se at (0.000, 0.491, 0.750).

The value obtained for the total magnetic moment is 0.00 μB/f.u. As for the energy relative to the elements, uncorrected: -356 meV/atom. Its density is 6.13 g/cm3. The value obtained for the raw total energy is -3.5921 eV per atom. The volume comes out at 295.7 Å³/cell.

---

DFT (PBE) results for crystalline Rh2C at its relaxed geometry.

The space group is Fmmm (No. 69) and the conventional cell measures 2.824, 5.127 and 10.527 Å, with angles of 90.00, 90.00 and 90.00 degrees. The inequivalent atoms are Rh at (0.000, 0.000, 0.133) and C at (0.000, 0.000, 0.500).

Its energy relative to the elements is 0.609 eV/atom. The value obtained for the total magnetic moment is 0.00 μB/f.u. Its density is 9.50 g/cm3. The value obtained for the raw total energy is -7.3662 eV per atom. The volume comes out at 152.4 Å³/cell. The calculation puts the energy above the most stable polymorph in this dataset at 417 meV/atom.

---

DFT (PBE) results for crystalline LaFeOs2 at its relaxed geometry.

The space group is P2/m (No. 10) and the conventional cell measures 2.882, 4.253 and 6.054 Å, with angles of 90.00, 101.07 and 90.00 degrees. The inequivalent atoms are La at (0.000, 0.000, 0.000), Fe at (0.500, 0.000, 0.500) and Os at (0.301, 0.500, 0.685).

Its energy relative to the elements is 0.476 eV/atom. The value obtained for the total magnetic moment is 3.35 μB/f.u. Its density is 13.12 g/cm3. The value obtained for the raw total energy is -8.4868 eV per atom. The volume comes out at 72.8 Å³/cell. The calculation puts the energy above the most stable polymorph in this dataset at 403 meV/atom.